[1]
KSc6S8 | Alexandria | GGA-PBE | optimized geometry; mass density = 2.47 Mg/m³; final energy = -98.476 eV for the cell shown
1.0
7.2519 -0.0335 -0.0346
-0.2597 7.2473 -0.0346
-0.2597 -0.2679 7.2425
K Sc S
1 6 8
direct
0.0000 0.0000 0.0000
0.6126 0.4321 0.8048
0.4321 0.8048 0.6126
0.8048 0.6126 0.4321
0.3874 0.5679 0.1952
0.5679 0.1952 0.3874
0.1952 0.3874 0.5679
0.7460 0.7460 0.7460
0.2540 0.2540 0.2540
0.5957 0.8579 0.2988
0.8579 0.2988 0.5957
0.2988 0.5957 0.8579
0.4043 0.1421 0.7012
0.1421 0.7012 0.4043
0.7012 0.4043 0.1421

[2]
KScS2 | Alexandria | GGA-PBE | optimized geometry; mass density = 2.56 Mg/m³; final energy = -44.948 eV for the cell shown
1.0
9.9347 -0.0046 -0.0007
0.0344 3.7543 0.0002
0.0014 -0.0004 5.1591
Sc S K
2 4 2
direct
0.9831 0.8534 0.1177
0.2076 0.3478 0.6175
0.0252 0.8521 0.6176
0.8021 0.3576 0.1178
0.3886 0.8437 0.6174
0.1656 0.3490 0.1175
0.7171 0.8583 0.6178
0.4736 0.3436 0.1174

[3]
K3Sc3SiS8 | Alexandria | GGA-PBE | optimized geometry; mass density = 2.48 Mg/m³; final energy = -82.924 eV for the cell shown
1.0
7.4525 0.0005 -0.0002
-3.7258 6.4541 -0.0261
-0.0005 -4.2749 7.4892
K Sc Si S
3 3 1 8
direct
0.0000 0.0000 0.0000
0.0000 0.5000 0.0000
0.5000 0.5000 0.0000
0.5000 0.0000 0.5000
0.5000 0.5000 0.5000
0.0000 0.5000 0.5000
0.0000 0.0000 0.5000
0.2696 0.5391 0.3089
0.7304 0.4609 0.6911
0.7878 0.5755 0.3212
0.2122 0.4245 0.6788
0.7878 0.0332 0.3212
0.2122 0.9668 0.6788
0.2455 0.0332 0.3212
0.7545 0.9668 0.6788

[4]
K2Sc2SiS6 | Alexandria | GGA-PBE | optimized geometry; mass density = 2.46 Mg/m³; final energy = -60.377 eV for the cell shown
1.0
6.3488 -0.0014 0.0278
-3.1392 5.5184 0.0278
-1.1771 -2.0232 7.4561
K Sc Si S
2 2 1 6
direct
0.8268 0.1732 0.0000
0.1732 0.8268 0.0000
0.3319 0.6681 0.5000
0.6681 0.3319 0.5000
0.0000 0.0000 0.5000
0.7629 0.7629 0.6774
0.0666 0.3715 0.6820
0.2371 0.2371 0.3226
0.3715 0.0666 0.6820
0.9334 0.6285 0.3180
0.6285 0.9334 0.3180

The highest mass density belongs to which entry? KScS2